A PBEsol-optimized structure of TcTeRh2, computed with meta-GGA SCAN. Values from VASP.

```
&SYSTEM
  ibrav = 0, nat = 4, ntyp = 3
/
ATOMIC_SPECIES
Tc 98.00 Tc.upf
Te 127.60 Te.upf
Rh 102.91 Rh.upf
CELL_PARAMETERS angstrom
4.679 0.000 0.000
0.000 4.679 0.000
0.000 0.000 2.859
ATOMIC_POSITIONS angstrom
Tc 0.000 0.000 0.000
Te 2.339 2.339 0.000
Rh 0.000 2.339 1.429
Rh 2.339 0.000 1.429
```

Output
**Energy relative to the elements, uncorrected**: 0.313 eV per atom
**Symmetry**: P4/mmm
**Volume**: 62.6 Å³ per cell
**Final energy**: -138.60 eV/cell
**Density**: 11.4 g/cm3

=====

A PBEsol-optimized structure of NaGe2Br, computed with meta-GGA SCAN. Values from VASP.

```
&SYSTEM
  ibrav = 0, nat = 4, ntyp = 3
/
ATOMIC_SPECIES
Na 22.99 Na.upf
Ge 72.64 Ge.upf
Br 79.90 Br.upf
CELL_PARAMETERS angstrom
0.000 3.544 3.544
3.544 0.000 3.544
3.544 3.544 0.000
ATOMIC_POSITIONS angstrom
Na 0.000 0.000 0.000
Ge 1.772 1.772 1.772
Ge 5.316 5.316 5.316
Br 3.544 3.544 3.544
```

Output
**Energy relative to the elements, uncorrected**: 0.520 eV per atom
**Symmetry**: Fm-3m
**Volume**: 89.0 Å³ per cell
**Final energy**: -59.77 eV/cell
**Density**: 4.6 g/cm3

=====

A PBEsol-optimized structure of K3ScSi2O7, computed with meta-GGA SCAN. Values from VASP.

```
&SYSTEM
  ibrav = 0, nat = 26, ntyp = 4
/
ATOMIC_SPECIES
K 39.10 K.upf
Sc 44.96 Sc.upf
Si 28.09 Si.upf
O 16.00 O.upf
CELL_PARAMETERS angstrom
5.616 0.000 0.000
-2.808 4.863 0.000
0.000 0.000 13.743
ATOMIC_POSITIONS angstrom
K 0.000 0.000 3.436
K 0.000 0.000 10.307
K 0.000 3.242 1.238
K 0.000 3.242 5.633
K 2.808 1.621 8.109
K 2.808 1.621 12.505
Sc 0.000 0.000 0.000
Sc 0.000 0.000 6.871
Si 0.000 3.242 8.645
Si 0.000 3.242 11.969
Si 2.808 1.621 1.774
Si 2.808 1.621 5.097
O 0.000 1.693 8.136
O 0.000 1.693 12.478
O -1.342 4.017 8.136
O -1.342 4.017 12.478
O 0.000 3.242 10.307
O 1.466 0.846 1.265
O 1.466 0.846 5.607
O 1.342 4.017 8.136
O 1.342 4.017 12.478
O 2.808 1.621 3.436
O 4.150 0.846 1.265
O 4.150 0.846 5.607
O 2.808 3.170 1.265
O 2.808 3.170 5.607
```

Output
**Energy relative to the elements, uncorrected**: -2.947 eV per atom
**Symmetry**: P6_3/mmc
**Volume**: 375.3 Å³ per cell
**Final energy**: -282.36 eV/cell
**Density**: 2.9 g/cm3

=====

A PBEsol-optimized structure of PdPt, computed with meta-GGA SCAN. Values from VASP.

```
&SYSTEM
  ibrav = 0, nat = 2, ntyp = 2
/
ATOMIC_SPECIES
Pd 106.42 Pd.upf
Pt 195.08 Pt.upf
CELL_PARAMETERS angstrom
1.371 0.791 4.510
-1.371 0.791 4.510
0.000 -1.583 4.510
ATOMIC_POSITIONS angstrom
Pd 0.000 0.000 0.000
Pt 0.000 0.000 6.765
```

Output
**Symmetry**: R-3m
**Volume**: 29.4 Å³ per cell
**Energy relative to the elements**: -30 meV/atom
**Final energy**: -103.03 eV/cell
**Density**: 17.1 g/cm3

=====

A PBEsol-optimized structure of MgBi, computed with meta-GGA SCAN. Values from VASP.

```
&SYSTEM
  ibrav = 0, nat = 2, ntyp = 2
/
ATOMIC_SPECIES
Mg 24.30 Mg.upf
Bi 208.98 Bi.upf
CELL_PARAMETERS angstrom
1.933 1.116 4.184
-1.933 1.116 4.184
0.000 -2.232 4.184
ATOMIC_POSITIONS angstrom
Mg 0.000 0.000 0.000
Bi 0.000 0.000 6.277
```

Output
**Symmetry**: R-3m
**Volume**: 54.1 Å³ per cell
**Energy relative to the elements**: -118 meV/atom
**Final energy**: -83.79 eV/cell
**Density**: 7.2 g/cm3

=====

A PBEsol-optimized structure of Ti3BiTe, computed with meta-GGA SCAN. Values from VASP.

```
&SYSTEM
  ibrav = 0, nat = 5, ntyp = 3
/
ATOMIC_SPECIES
Ti 47.87 Ti.upf
Bi 208.98 Bi.upf
Te 127.60 Te.upf
CELL_PARAMETERS angstrom
5.196 0.000 0.000
0.000 5.196 0.000
0.000 0.000 5.196
ATOMIC_POSITIONS angstrom
Ti 0.000 0.000 2.598
Ti 0.000 2.598 0.000
Ti 2.598 0.000 0.000
Bi 0.000 0.000 0.000
Te 2.598 2.598 2.598
```

Output
**Energy relative to the elements, uncorrected**: 0.701 eV per atom
**Symmetry**: Pm-3m
**Volume**: 140.3 Å³ per cell
**Final energy**: -160.42 eV/cell
**Density**: 5.7 g/cm3

=====

A PBEsol-optimized structure of TaTc2Ag, computed with meta-GGA SCAN. Values from VASP.

```
&SYSTEM
  ibrav = 0, nat = 4, ntyp = 3
/
ATOMIC_SPECIES
Ta 180.95 Ta.upf
Tc 98.00 Tc.upf
Ag 107.87 Ag.upf
CELL_PARAMETERS angstrom
2.642 0.000 0.000
0.000 2.642 0.000
0.000 0.000 8.910
ATOMIC_POSITIONS angstrom
Ta 0.000 0.000 0.000
Tc 1.321 1.321 2.235
Tc 1.321 1.321 6.675
Ag 0.000 0.000 4.455
```

Output
**Symmetry**: P4/mmm
**Volume**: 62.2 Å³ per cell
**Energy relative to the elements**: 339 meV/atom
**Final energy**: -166.71 eV/cell
**Density**: 12.9 g/cm3

=====

A PBEsol-optimized structure of DySiNi4, computed with meta-GGA SCAN. Values from VASP.

```
&SYSTEM
  ibrav = 0, nat = 6, ntyp = 3
/
ATOMIC_SPECIES
Dy 162.50 Dy.upf
Si 28.09 Si.upf
Ni 58.69 Ni.upf
CELL_PARAMETERS angstrom
2.488 -4.027 0.000
2.488 4.027 0.000
0.000 0.000 3.902
ATOMIC_POSITIONS angstrom
Dy 0.000 0.000 0.000
Si 2.488 0.000 1.951
Ni 1.244 2.014 1.951
Ni 2.488 1.286 0.000
Ni 1.244 -2.014 1.951
Ni 2.488 -1.286 0.000
```

Output
**Energy relative to the elements, uncorrected**: -0.620 eV per atom
**Symmetry**: Cmmm
**Volume**: 78.2 Å³ per cell
**Final energy**: -126.23 eV/cell
**Density**: 9.0 g/cm3

=====

- What is the final energy in the fourth record?
  -103.03 eV/cell